Entry 1:
## VCuIrO6 (PBE with a Hubbard U)

Data for VCuIrO6 after structural relaxation.

Lattice parameters (Å, degrees): 4.976 4.976 8.889 90.00 90.00 120.00
Last column: magnetic moment on the atom in μB.
Fractional coordinates of all 18 atoms:
V1 0.333 0.667 0.250  -0.03
V2 0.667 0.333 0.750  -0.03
O1 0.647 0.990 0.370  0.05
O2 0.990 0.647 0.870  0.05
O3 0.647 0.657 0.130  0.05
O4 0.010 0.657 0.370  0.05
O5 0.353 0.343 0.870  0.05
O6 0.343 0.990 0.130  0.05
O7 0.353 0.010 0.630  0.05
O8 0.343 0.353 0.370  0.05
O9 0.990 0.343 0.630  0.05
O10 0.657 0.647 0.630  0.05
O11 0.657 0.010 0.870  0.05
O12 0.010 0.353 0.130  0.05
Cu1 0.000 0.000 0.500  0.07
Cu2 0.000 0.000 0.000  0.07
Ir1 0.333 0.667 0.750  0.30
Ir2 0.667 0.333 0.250  0.30

Computed properties:
SG: No. 163
VASP energy (eV/cell): -118.25

---

Entry 2:
## CuIrWO2 (PBE with a Hubbard U)

Data for CuIrWO2 after structural relaxation.

Lattice parameters (Å, degrees): 3.789 5.587 3.789 90.00 90.00 90.00
Last column: magnetic moment on the atom in μB.
Fractional coordinates of all 5 atoms:
Cu1 0.000 0.500 0.000  -0.02
W1 0.000 0.000 0.000  1.18
O1 0.500 0.000 0.000  -0.12
O2 0.000 0.000 0.500  -0.05
Ir1 0.500 0.500 0.500  1.19

Computed properties:
SG: No. 123
VASP energy (eV/cell): -30.07

---

Respective total magnetization values: 0.70 2.38 μB per formula unit.
Respective N(E_F) values: 13.2 2.8 states/eV per cell.